1.
VASP calculation (PBE) on a geometry-optimized Pr2Y6Tm3Th structure.

abc: 6.211 6.211 11.823
angles: 95.03 95.03 119.94
Sites, in units of the cell vectors:
Pr: 0.167 0.833 0.000
Pr: 0.833 0.167 0.000
Y: 0.085 0.415 0.747
Y: 0.256 0.256 0.253
Y: 0.415 0.085 0.747
Y: 0.585 0.915 0.253
Y: 0.744 0.744 0.747
Y: 0.915 0.585 0.253
Tm: 0.000 0.000 0.500
Tm: 0.333 0.667 0.500
Tm: 0.667 0.333 0.500
Th: 0.500 0.500 0.000

ΔH_f (0 K) = 0.038 eV/atom
E = -68.722 eV/cell
V = 389.1 Å³/f.u.
Fermi-level density of states = 17.96 states/eV/f.u.
SG = C2/m, No. 12
Magnetic moment = 0.00 Bohr magnetons per cell

2.
VASP calculation (PBE) on a geometry-optimized PrY6Tm2Th3 structure.

abc: 6.199 6.199 11.784
angles: 95.04 95.04 120.00
Sites, in units of the cell vectors:
Pr: 0.000 0.000 0.000
Y: 0.085 0.419 0.254
Y: 0.249 0.249 0.746
Y: 0.419 0.085 0.254
Y: 0.581 0.915 0.746
Y: 0.751 0.751 0.254
Y: 0.915 0.581 0.746
Tm: 0.333 0.667 0.000
Tm: 0.667 0.333 0.000
Th: 0.166 0.834 0.500
Th: 0.500 0.500 0.500
Th: 0.834 0.166 0.500

ΔH_f (0 K) = 0.026 eV/atom
E = -74.458 eV/cell
V = 386.1 Å³/f.u.
Fermi-level density of states = 18.23 states/eV/f.u.
SG = C2/m, No. 12
Magnetic moment = 0.00 Bohr magnetons per cell

3.
VASP calculation (PBE) on a geometry-optimized PrYTm5Th2 structure.

abc: 9.842 9.842 9.842
angles: 127.28 127.28 77.79
Sites, in units of the cell vectors:
Pr: 0.250 0.750 0.500
Pr: 0.750 0.250 0.500
Y: 0.250 0.250 0.000
Y: 0.750 0.750 0.000
Tm: 0.000 0.000 0.000
Tm: 0.069 0.569 0.915
Tm: 0.154 0.069 0.500
Tm: 0.346 0.846 0.915
Tm: 0.431 0.346 0.500
Tm: 0.500 0.500 0.000
Tm: 0.569 0.654 0.500
Tm: 0.654 0.154 0.085
Tm: 0.846 0.931 0.500
Tm: 0.931 0.431 0.085
Th: 0.119 0.381 0.500
Th: 0.381 0.881 0.261
Th: 0.619 0.119 0.739
Th: 0.881 0.619 0.500

ΔH_f (0 K) = 0.331 eV/atom
E = -90.923 eV/cell
V = 292.6 Å³/f.u.
Fermi-level density of states = 12.11 states/eV/f.u.
SG = I4/mcm, No. 140
Magnetic moment = 0.00 Bohr magnetons per cell

4.
VASP calculation (PBE) on a geometry-optimized Pr2YTmTh structure.

abc: 9.117 6.357 6.464
angles: 90.00 109.39 90.00
Sites, in units of the cell vectors:
Pr: 0.185 0.191 0.340
Pr: 0.185 0.809 0.840
Pr: 0.815 0.191 0.160
Pr: 0.815 0.809 0.660
Y: 0.000 0.330 0.750
Y: 0.000 0.670 0.250
Tm: 0.500 0.005 0.750
Tm: 0.500 0.995 0.250
Th: 0.500 0.500 0.000
Th: 0.500 0.500 0.500

ΔH_f (0 K) = 0.318 eV/atom
E = -52.644 eV/cell
V = 176.7 Å³/f.u.
Fermi-level density of states = 7.25 states/eV/f.u.
SG = P2/c, No. 13
Magnetic moment = 0.00 Bohr magnetons per cell

5.
VASP calculation (PBE) on a geometry-optimized Pr5Y2TmTh structure.

abc: 11.235 11.235 10.677
angles: 90.00 90.00 151.88
Sites, in units of the cell vectors:
Pr: 0.000 0.000 0.000
Pr: 0.000 0.000 0.500
Pr: 0.126 0.874 0.750
Pr: 0.222 0.778 0.058
Pr: 0.222 0.778 0.442
Pr: 0.499 0.501 0.250
Pr: 0.501 0.499 0.750
Pr: 0.778 0.222 0.558
Pr: 0.778 0.222 0.942
Pr: 0.874 0.126 0.250
Y: 0.387 0.613 0.503
Y: 0.387 0.613 0.997
Y: 0.613 0.387 0.003
Y: 0.613 0.387 0.497
Tm: 0.102 0.898 0.250
Tm: 0.898 0.102 0.750
Th: 0.288 0.712 0.750
Th: 0.712 0.288 0.250

ΔH_f (0 K) = 0.136 eV/atom
E = -94.983 eV/cell
V = 317.6 Å³/f.u.
Fermi-level density of states = 13.14 states/eV/f.u.
SG = Cmcm, No. 63
Magnetic moment = 0.00 Bohr magnetons per cell

6.
VASP calculation (PBE) on a geometry-optimized Pr5YTm2Th structure.

abc: 11.186 11.186 10.680
angles: 90.00 90.00 151.83
Sites, in units of the cell vectors:
Pr: 0.000 0.000 0.000
Pr: 0.000 0.000 0.500
Pr: 0.126 0.874 0.750
Pr: 0.222 0.778 0.058
Pr: 0.222 0.778 0.444
Pr: 0.497 0.503 0.250
Pr: 0.503 0.497 0.750
Pr: 0.778 0.222 0.558
Pr: 0.778 0.222 0.944
Pr: 0.874 0.126 0.250
Y: 0.102 0.898 0.250
Y: 0.898 0.102 0.750
Tm: 0.387 0.613 0.506
Tm: 0.388 0.612 0.994
Tm: 0.612 0.388 0.494
Tm: 0.613 0.387 0.006
Th: 0.287 0.713 0.750
Th: 0.713 0.287 0.250

ΔH_f (0 K) = 0.143 eV/atom
E = -90.877 eV/cell
V = 315.4 Å³/f.u.
Fermi-level density of states = 12.83 states/eV/f.u.
SG = Cmc2_1, No. 36
Magnetic moment = 0.00 Bohr magnetons per cell

7.
VASP calculation (PBE) on a geometry-optimized PrYTh structure.

abc: 3.616 3.616 8.890
angles: 90.00 90.00 120.00
Sites, in units of the cell vectors:
Pr: 0.000 0.000 0.000
Y: 0.667 0.333 0.352
Th: 0.333 0.667 0.671

ΔH_f (0 K) = 0.032 eV/atom
E = -18.567 eV/cell
Energy above the lowest structure with this stoichiometry = 8 meV per atom
V = 100.7 Å³/f.u.
Fermi-level density of states = 4.92 states/eV/f.u.
SG = P3m1, No. 156
Magnetic moment = 0.00 Bohr magnetons per cell

8.
VASP calculation (PBE) on a geometry-optimized PrY2Th structure.

abc: 11.954 11.954 11.954
angles: 17.37 17.37 17.37
Sites, in units of the cell vectors:
Pr: 0.000 0.000 0.000
Y: 0.418 0.418 0.418
Y: 0.582 0.582 0.582
Th: 0.166 0.166 0.166

ΔH_f (0 K) = 0.039 eV/atom
E = -24.970 eV/cell
Energy above the lowest structure with this stoichiometry = 24 meV per atom
V = 132.9 Å³/f.u.
Fermi-level density of states = 6.47 states/eV/f.u.
SG = R3m, No. 160
Magnetic moment = 0.00 Bohr magnetons per cell